[1]
# Fe5Au

A relaxed Fe5Au crystal (PBE, the Alexandria database).

a b c (Å): 6.7207 6.7207 6.7207
angles (deg): 90.00 90.00 90.00
Space group F-43m (No. 216)
Symmetry-distinct sites (fractional):
Fe1 0.0000 0.0000 0.0000 [4 per cell]
Fe2 0.1258 0.1258 0.3742 [16 per cell]
Au1 0.2500 0.2500 0.7500 [4 per cell]

Calculated total energy ... -7.431 eV per atom
Crystal system ... cubic
ρ ... 10.42 g/cm3
Calculated volume ... 303.6 Å³/cell
ΔH_f (0 K) ... 0.168 eV per atom

[2]
# H3PbBr

A relaxed H3PbBr crystal (PBE, the Alexandria database).

a b c (Å): 4.1157 4.1157 4.1157
angles (deg): 90.00 90.00 90.00
Space group Pm-3m (No. 221)
Symmetry-distinct sites (fractional):
H1 0.0000 0.0000 0.5000 [3 per cell]
Pb1 0.0000 0.0000 0.0000 [1 per cell]
Br1 0.5000 0.5000 0.5000 [1 per cell]

Calculated total energy ... -2.640 eV per atom
Crystal system ... cubic
ρ ... 6.91 g/cm3
Calculated volume ... 69.7 Å³/cell

[3]
# Ba8Rh2Pb

A relaxed Ba8Rh2Pb crystal (PBE, the Alexandria database).

a b c (Å): 8.2567 8.5443 8.5564
angles (deg): 75.73 74.47 74.64
Space group P-1 (No. 2)
Symmetry-distinct sites (fractional):
Ba1 0.2155 0.3320 0.3409 [2 per cell]
Ba2 0.2472 0.2732 0.8547 [2 per cell]
Ba3 0.2483 0.8450 0.2602 [2 per cell]
Ba4 0.2799 0.7929 0.7671 [2 per cell]
Rh1 0.4713 0.1011 0.1086 [2 per cell]
Pb1 0.5000 0.5000 0.5000 [1 per cell]

Calculated total energy ... -3.248 eV per atom
Crystal system ... triclinic
ρ ... 4.56 g/cm3
Calculated volume ... 550.7 Å³/cell
ΔH_f (0 K) ... -0.176 eV per atom

[4]
# AcTb4Sm2Ho

A relaxed AcTb4Sm2Ho crystal (PBE, the Alexandria database).

a b c (Å): 5.1220 5.1405 10.2369
angles (deg): 90.00 90.00 90.00
Space group Pmmm (No. 47)
Symmetry-distinct sites (fractional):
Ac1 0.0000 0.0000 0.0000 [1 per cell]
Tb1 0.0000 0.5000 0.2582 [2 per cell]
Tb2 0.5000 0.0000 0.2579 [2 per cell]
Sm1 0.0000 0.0000 0.5000 [1 per cell]
Sm2 0.5000 0.5000 0.0000 [1 per cell]
Ho1 0.5000 0.5000 0.5000 [1 per cell]

Calculated total energy ... -4.547 eV per atom
Crystal system ... orthorhombic
ρ ... 8.18 g/cm3
Calculated volume ... 269.5 Å³/cell
ΔH_f (0 K) ... 0.034 eV per atom

[5]
# Li2YCo

A relaxed Li2YCo crystal (PBE, the Alexandria database).

a b c (Å): 4.6240 4.6396 6.5485
angles (deg): 90.00 90.00 90.00
Space group Imm2 (No. 44)
Symmetry-distinct sites (fractional):
Li1 0.0000 0.0000 0.0000 [2 per cell]
Li2 0.0000 0.5000 0.2508 [2 per cell]
Y1 0.0000 0.0000 0.4995 [2 per cell]
Co1 0.0000 0.5000 0.7486 [2 per cell]

Calculated total energy ... -4.177 eV per atom
Crystal system ... orthorhombic
ρ ... 3.82 g/cm3
Calculated volume ... 140.5 Å³/cell
ΔH_f (0 K) ... 0.172 eV per atom

[6]
# Dy2Al4ZnAg3

A relaxed Dy2Al4ZnAg3 crystal (PBE, the Alexandria database).

a b c (Å): 4.2354 4.2354 11.0319
angles (deg): 90.00 90.00 90.00
Space group P-4m2 (No. 115)
Symmetry-distinct sites (fractional):
Dy1 0.0000 0.5000 0.2451 [2 per cell]
Al1 0.0000 0.0000 0.5000 [1 per cell]
Al2 0.0000 0.5000 0.8650 [2 per cell]
Al3 0.5000 0.5000 0.5000 [1 per cell]
Zn1 0.5000 0.5000 0.0000 [1 per cell]
Ag1 0.0000 0.0000 0.0000 [1 per cell]
Ag2 0.0000 0.5000 0.6390 [2 per cell]

Calculated total energy ... -3.717 eV per atom
Crystal system ... tetragonal
ρ ... 6.90 g/cm3
Calculated volume ... 197.9 Å³/cell
ΔH_f (0 K) ... -0.317 eV per atom

[7]
# Tm2Ga7Ag12

A relaxed Tm2Ga7Ag12 crystal (PBE, the Alexandria database).

a b c (Å): 11.8227 11.8227 3.1720
angles (deg): 90.00 90.00 120.00
Space group P-3 (No. 147)
Symmetry-distinct sites (fractional):
Tm1 0.3333 0.6667 0.2481 [2 per cell]
Ga1 0.0000 0.0000 0.5000 [1 per cell]
Ga2 0.1368 0.7122 0.7483 [6 per cell]
Ag1 0.0763 0.2456 0.2463 [6 per cell]
Ag2 0.0786 0.4587 0.7501 [6 per cell]

Calculated total energy ... -3.209 eV per atom
Crystal system ... trigonal
ρ ... 9.17 g/cm3
Calculated volume ... 384.0 Å³/cell
ΔH_f (0 K) ... -0.144 eV per atom

[8]
# V3Ge

A relaxed V3Ge crystal (PBE, the Alexandria database).

a b c (Å): 4.0228 4.0228 3.3392
angles (deg): 90.00 90.00 90.00
Space group P4/mmm (No. 123)
Symmetry-distinct sites (fractional):
V1 0.0000 0.0000 0.0000 [1 per cell]
V2 0.0000 0.5000 0.5000 [2 per cell]
Ge1 0.5000 0.5000 0.0000 [1 per cell]

Calculated total energy ... -8.236 eV per atom
Crystal system ... tetragonal
ρ ... 6.93 g/cm3
Calculated volume ... 54.0 Å³/cell
ΔH_f (0 K) ... -0.243 eV per atom

[9]
# TlZnGa

A relaxed TlZnGa crystal (PBE, the Alexandria database).

a b c (Å): 5.1463 5.1463 5.9501
angles (deg): 90.00 90.00 120.00
Space group P6_3/mmc (No. 194)
Symmetry-distinct sites (fractional):
Tl1 0.3333 0.6667 0.2500 [2 per cell]
Zn1 0.0000 0.0000 0.0000 [2 per cell]
Ga1 0.3333 0.6667 0.7500 [2 per cell]

Calculated total energy ... -1.998 eV per atom
Crystal system ... hexagonal
ρ ... 8.26 g/cm3
Calculated volume ... 136.5 Å³/cell
ΔH_f (0 K) ... 0.225 eV per atom

[10]
# AcGePdN

A relaxed AcGePdN crystal (PBE, the Alexandria database).

a b c (Å): 4.1084 4.1084 8.9767
angles (deg): 90.00 90.00 90.00
Space group P4/nmm (No. 129, origin choice 2)
Symmetry-distinct sites (fractional):
Ac1 0.2500 0.2500 0.1542 [2 per cell]
Ge1 0.2500 0.2500 0.6610 [2 per cell]
Pd1 0.2500 0.7500 0.5000 [2 per cell]
N1 0.2500 0.2500 0.8750 [2 per cell]

Calculated total energy ... -6.423 eV per atom
Crystal system ... tetragonal
Energy relative to the elements, uncorrected ... -0.86 eV per atom
ρ ... 9.21 g/cm3
Calculated volume ... 151.5 Å³/cell

[11]
# MnFeBr2

A relaxed MnFeBr2 crystal (PBE, the Alexandria database).

a b c (Å): 3.6896 3.8500 13.7579
angles (deg): 90.00 90.00 90.00
Space group Immm (No. 71)
Symmetry-distinct sites (fractional):
Mn1 0.0000 0.0000 0.0000 [2 per cell]
Fe1 0.0000 0.0000 0.5000 [2 per cell]
Br1 0.0000 0.5000 0.1325 [4 per cell]

Calculated total energy ... -5.292 eV per atom
Crystal system ... orthorhombic
Energy relative to the elements, uncorrected ... -0.05 eV per atom
ρ ... 4.60 g/cm3
Calculated volume ... 195.4 Å³/cell

[12]
# CdIrOs2

A relaxed CdIrOs2 crystal (PBE, the Alexandria database).

a b c (Å): 2.7761 3.8400 5.9275
angles (deg): 90.00 90.00 90.00
Space group Pmm2 (No. 25)
Symmetry-distinct sites (fractional):
Cd1 0.0000 0.0000 0.0000 [1 per cell]
Ir1 0.5000 0.5000 0.2676 [1 per cell]
Os1 0.0000 0.0000 0.5084 [1 per cell]
Os2 0.5000 0.5000 0.7122 [1 per cell]

Calculated total energy ... -7.673 eV per atom
Crystal system ... orthorhombic
ρ ... 18.00 g/cm3
Calculated volume ... 63.2 Å³/cell
ΔH_f (0 K) ... 0.386 eV per atom

Question: Which value of calculated volume does entry 3 give?
Answer: 550.7 Å³/cell